DFT (PBE) results for a relaxed structure of Sm2B3N2.

Cell lengths 6.776, 6.776, 3.850 Å; angles 90.00, 90.00, 151.40 degrees
Positions (direct):
Sm  0.865  0.135  0.500
B  0.500  0.500  0.000
B  0.719  0.281  0.000
N  0.605  0.395  0.000
B  0.281  0.719  0.000
Sm  0.135  0.865  0.500
N  0.395  0.605  0.000

Values from the calculation:
- magnetic moment (μB/f.u.) = 0.01
- calculated total energy (eV/atom) = -7.396